# 1
! BiHC2Cl, single point on PBEsol structure, DFT SCAN; values from VASP
&SYSTEM
  ibrav = 0, nat = 5, ntyp = 4
/
ATOMIC_SPECIES
C 12.01 C.upf
Cl 35.45 Cl.upf
Bi 208.98 Bi.upf
H 1.01 H.upf
ATOMIC_POSITIONS angstrom
C 0.000 1.890 0.000
C 1.890 0.000 0.000
Cl 0.000 0.000 2.296
Bi 1.890 1.890 2.296
H 0.000 0.000 0.000
CELL_PARAMETERS angstrom
3.780 0.000 0.000
0.000 3.780 0.000
0.000 0.000 4.592
! Fermi-level density of states: 1.59 states/eV/f.u.
! Calculated volume: 13.1 A^3/atom
! Total DFT energy (no corrections): -1.440 Ry/atom
! Total magnetic moment: 1.63 μB per formula unit

# 2
! BiCSCl2, single point on PBEsol structure, DFT SCAN; values from VASP
&SYSTEM
  ibrav = 0, nat = 5, ntyp = 4
/
ATOMIC_SPECIES
Bi 208.98 Bi.upf
S 32.06 S.upf
C 12.01 C.upf
Cl 35.45 Cl.upf
ATOMIC_POSITIONS angstrom
Bi -2.088 -2.712 1.660
S -1.346 0.296 1.723
C 0.000 0.000 0.000
Cl -1.541 -1.195 -0.999
Cl 0.799 -1.812 0.936
CELL_PARAMETERS angstrom
-3.081 -2.391 -1.998
1.599 -3.625 1.872
-2.693 0.592 3.445
! Fermi-level density of states: 2.74 states/eV/f.u.
! Calculated volume: 16.9 A^3/atom
! Total DFT energy (no corrections): -1.615 Ry/atom
! Total magnetic moment: 0.00 μB per formula unit

# 3
! CoBi2C, single point on PBEsol structure, DFT SCAN; values from VASP
&SYSTEM
  ibrav = 0, nat = 8, ntyp = 3
/
ATOMIC_SPECIES
Bi 208.98 Bi.upf
C 12.01 C.upf
Co 58.93 Co.upf
ATOMIC_POSITIONS angstrom
Bi 1.433 1.898 0.751
Bi 4.300 3.146 3.017
Bi -1.294 6.873 4.396
Bi 1.294 5.491 1.885
C 0.000 3.661 1.257
C 2.866 1.383 2.511
Co 2.866 5.043 3.768
Co 0.000 0.000 0.000
CELL_PARAMETERS angstrom
5.733 0.000 0.000
-2.866 5.939 0.002
0.000 2.765 5.022
! Fermi-level density of states: 2.09 states/eV/f.u.
! Calculated volume: 21.4 A^3/atom
! E_form: 1198.6 meV/atom
! Total magnetic moment: 1.15 μB per formula unit

# 4
! CoBiOsC2, single point on PBEsol structure, DFT SCAN; values from VASP
&SYSTEM
  ibrav = 0, nat = 5, ntyp = 4
/
ATOMIC_SPECIES
Co 58.93 Co.upf
C 12.01 C.upf
Os 190.23 Os.upf
Bi 208.98 Bi.upf
ATOMIC_POSITIONS angstrom
Co 2.150 2.150 2.571
C 0.000 2.150 0.000
C 2.150 0.000 0.000
Os 0.000 0.000 2.571
Bi 0.000 0.000 0.000
CELL_PARAMETERS angstrom
4.299 0.000 0.000
0.000 4.299 0.000
0.000 0.000 5.143
! Fermi-level density of states: 3.47 states/eV/f.u.
! Calculated volume: 19.0 A^3/atom
! E_form: 3694.1 meV/atom
! Total magnetic moment: 2.28 μB per formula unit